# 1
Computed, not measured: a geometry-optimized Pr6Sn2Sb3Te structure at the PBE level of DFT.

Properties
- ρ (Mg/m³) = 6.52
- final energy (eV for the cell shown) = -65.041
- magnetic moment (μB per cell) = 0.00

a = 10.1920 Å, b = 10.1920 Å, c = 9.1748 Å
α = 103.02°, β = 103.02°, γ = 25.63°
Atoms (fractional coordinates):
Pr: 0.0006 0.0006 0.2550
Pr: 0.3324 0.3324 0.9176
Pr: 0.3340 0.3340 0.4145
Pr: 0.6660 0.6660 0.5855
Pr: 0.6676 0.6676 0.0824
Pr: 0.9994 0.9994 0.7450
Sn: 0.1666 0.1666 0.3332
Sn: 0.8334 0.8334 0.6668
Sb: 0.1651 0.1651 0.8336
Sb: 0.5000 0.5000 0.5000
Sb: 0.8349 0.8349 0.1664
Te: 0.5000 0.5000 0.0000

# 2
Computed, not measured: a geometry-optimized Pr8Sn3SbTe4 structure at the PBE level of DFT.

Properties
- ρ (Mg/m³) = 6.53
- final energy (eV for the cell shown) = -86.092
- magnetic moment (μB per cell) = 0.00

a = 9.1355 Å, b = 9.1355 Å, c = 9.1355 Å
α = 59.87°, β = 59.87°, γ = 59.87°
Atoms (fractional coordinates):
Pr: 0.2448 0.7474 0.7474
Pr: 0.2471 0.2471 0.2471
Pr: 0.2526 0.2526 0.7552
Pr: 0.2526 0.7552 0.2526
Pr: 0.7474 0.2448 0.7474
Pr: 0.7474 0.7474 0.2448
Pr: 0.7529 0.7529 0.7529
Pr: 0.7552 0.2526 0.2526
Sn: 0.0000 0.0000 0.5000
Sn: 0.0000 0.5000 0.0000
Sn: 0.5000 0.0000 0.0000
Sb: 0.5000 0.5000 0.5000
Te: 0.0000 0.0000 0.0000
Te: 0.0000 0.5000 0.5000
Te: 0.5000 0.0000 0.5000
Te: 0.5000 0.5000 0.0000

# 3
Computed, not measured: a geometry-optimized Pr4SnSbTe2 structure at the PBE level of DFT.

Properties
- ρ (Mg/m³) = 6.56
- final energy (eV for the cell shown) = -43.603
- magnetic moment (μB per cell) = 0.00

a = 7.8921 Å, b = 4.5612 Å, c = 7.8986 Å
α = 90.00°, β = 109.44°, γ = 90.00°
Atoms (fractional coordinates):
Pr: 0.2451 0.0000 0.2403
Pr: 0.2513 0.5000 0.7602
Pr: 0.7487 0.5000 0.2398
Pr: 0.7549 0.0000 0.7597
Sn: 0.0000 0.5000 0.0000
Sb: 0.5000 0.0000 0.0000
Te: 0.0000 0.0000 0.5000
Te: 0.5000 0.5000 0.5000

# 4
Computed, not measured: a geometry-optimized Pr4SnSb2Te structure at the PBE level of DFT.

Properties
- ρ (Mg/m³) = 6.54
- final energy (eV for the cell shown) = -43.839
- magnetic moment (μB per cell) = 0.00

a = 7.8992 Å, b = 4.5368 Å, c = 7.9073 Å
α = 90.00°, β = 109.22°, γ = 90.00°
Atoms (fractional coordinates):
Pr: 0.2454 0.0000 0.2433
Pr: 0.2482 0.5000 0.7513
Pr: 0.7518 0.5000 0.2487
Pr: 0.7546 0.0000 0.7567
Sn: 0.5000 0.0000 0.0000
Sb: 0.0000 0.0000 0.5000
Sb: 0.0000 0.5000 0.0000
Te: 0.5000 0.5000 0.5000

# 5
Computed, not measured: a geometry-optimized SrPrSb2 structure at the PBE level of DFT.

Properties
- ρ (Mg/m³) = 5.49
- final energy (eV for the cell shown) = -18.574
- magnetic moment (μB per cell) = 0.00

a = 8.3648 Å, b = 8.3648 Å, c = 8.3648 Å
α = 31.63°, β = 31.63°, γ = 31.63°
Atoms (fractional coordinates):
Sr: 0.0000 0.0000 0.0000
Pr: 0.5000 0.5000 0.5000
Sb: 0.2450 0.2450 0.2450
Sb: 0.7550 0.7550 0.7550

# 6
Computed, not measured: a geometry-optimized SrPrSb2 structure at the PBE level of DFT.

Properties
- ρ (Mg/m³) = 6.30
- final energy (eV for the cell shown) = -18.251
- magnetic moment (μB per cell) = 0.03

a = 5.9686 Å, b = 5.9686 Å, c = 3.4932 Å
α = 90.00°, β = 90.00°, γ = 90.00°
Atoms (fractional coordinates):
Sr: 0.0000 0.0000 0.0000
Pr: 0.5000 0.5000 0.0000
Sb: 0.0000 0.5000 0.5000
Sb: 0.5000 0.0000 0.5000

# 7
Computed, not measured: a geometry-optimized SrPrSb2 structure at the PBE level of DFT.

Properties
- ρ (Mg/m³) = 5.30
- final energy (eV for the cell shown) = -18.247
- magnetic moment (μB per cell) = 0.00

a = 7.9394 Å, b = 7.9394 Å, c = 7.9394 Å
α = 35.10°, β = 35.10°, γ = 35.10°
Atoms (fractional coordinates):
Sr: 0.0000 0.0000 0.0000
Pr: 0.1734 0.1734 0.1734
Sb: 0.4264 0.4264 0.4264
Sb: 0.5794 0.5794 0.5794

# 8
Computed, not measured: a geometry-optimized Sr5PrSb4 structure at the PBE level of DFT.

Properties
- ρ (Mg/m³) = 4.27
- final energy (eV for the cell shown) = -38.725
- magnetic moment (μB per cell) = 0.98

a = 10.8206 Å, b = 10.8206 Å, c = 10.8206 Å
α = 153.80°, β = 131.85°, γ = 55.63°
Atoms (fractional coordinates):
Sr: 0.0000 0.0000 0.0000
Sr: 0.0907 0.3327 0.7580
Sr: 0.4254 0.6673 0.7580
Sr: 0.5746 0.3327 0.2420
Sr: 0.9093 0.6673 0.2420
Pr: 0.5000 0.0000 0.5000
Sb: 0.2539 0.5000 0.7539
Sb: 0.3052 0.8052 0.5000
Sb: 0.6948 0.1948 0.5000
Sb: 0.7461 0.5000 0.2461

# 9
Computed, not measured: a geometry-optimized SrPr5Sb6 structure at the PBE level of DFT.

Properties
- ρ (Mg/m³) = 6.16
- final energy (eV for the cell shown) = -63.770
- magnetic moment (μB per cell) = 0.00

a = 7.9558 Å, b = 7.9558 Å, c = 7.9455 Å
α = 99.61°, β = 99.61°, γ = 120.05°
Atoms (fractional coordinates):
Sr: 0.0000 0.0000 0.0000
Pr: 0.1645 0.8355 0.5000
Pr: 0.3326 0.6674 0.0000
Pr: 0.5000 0.5000 0.5000
Pr: 0.6674 0.3326 0.0000
Pr: 0.8355 0.1645 0.5000
Sb: 0.0850 0.4255 0.2541
Sb: 0.2563 0.2563 0.7471
Sb: 0.4255 0.0850 0.2541
Sb: 0.5745 0.9150 0.7459
Sb: 0.7437 0.7437 0.2529
Sb: 0.9150 0.5745 0.7459

# 10
Computed, not measured: a geometry-optimized Sr3PrTh2Sb6 structure at the PBE level of DFT.

Properties
- ρ (Mg/m³) = 6.21
- final energy (eV for the cell shown) = -61.476
- magnetic moment (μB per cell) = 0.00

a = 8.0183 Å, b = 8.0183 Å, c = 8.1246 Å
α = 99.47°, β = 99.47°, γ = 120.02°
Atoms (fractional coordinates):
Sr: 0.0000 0.0000 0.0000
Sr: 0.3348 0.6652 0.0000
Sr: 0.6652 0.3348 0.0000
Pr: 0.5000 0.5000 0.5000
Th: 0.1669 0.8331 0.5000
Th: 0.8331 0.1669 0.5000
Sb: 0.0852 0.4227 0.2682
Sb: 0.2395 0.2395 0.7314
Sb: 0.4227 0.0852 0.2682
Sb: 0.5773 0.9148 0.7318
Sb: 0.7605 0.7605 0.2686
Sb: 0.9148 0.5773 0.7318

# 11
Computed, not measured: a geometry-optimized TbPrSb structure at the PBE level of DFT.

Properties
- ρ (Mg/m³) = 7.64
- final energy (eV for the cell shown) = -32.166
- magnetic moment (μB per cell) = 0.00

a = 4.5699 Å, b = 4.5699 Å, c = 8.7800 Å
α = 90.01°, β = 90.01°, γ = 90.00°
Atoms (fractional coordinates):
Tb: 0.2499 0.7501 0.0000
Tb: 0.7501 0.2499 0.0000
Pr: 0.2488 0.2488 0.6466
Pr: 0.7512 0.7512 0.3534
Sb: 0.2510 0.2510 0.2705
Sb: 0.7490 0.7490 0.7295

# 12
Computed, not measured: a geometry-optimized Tb4PrSb5 structure at the PBE level of DFT.

Properties
- ρ (Mg/m³) = 7.47
- final energy (eV for the cell shown) = -55.435
- magnetic moment (μB per cell) = 0.00

a = 11.7250 Å, b = 11.7250 Å, c = 11.7250 Å
α = 158.20°, β = 148.98°, γ = 38.24°
Atoms (fractional coordinates):
Tb: 0.1003 0.1003 0.0000
Tb: 0.2982 0.2982 0.0000
Tb: 0.7018 0.7018 0.0000
Tb: 0.8997 0.8997 0.0000
Pr: 0.5000 0.5000 0.0000
Sb: 0.0000 0.5000 0.5000
Sb: 0.1994 0.6994 0.5000
Sb: 0.3964 0.8964 0.5000
Sb: 0.6036 0.1036 0.5000
Sb: 0.8006 0.3006 0.5000

Question: Which formula does entry 3 have?
Answer: Pr4SnSbTe2

Question: Look up the ρ of the fourth one.
Answer: 6.54 Mg/m³

Question: ρ of number 5 (SrPrSb2)?
Answer: 5.49 Mg/m³